# ZrCrB3

A geometry-optimized ZrCrB3 structure (PBE, Alexandria).

Lattice parameters (Å, degrees): 4.310 4.310 4.310 90.00 90.00 90.00
Sites, in units of the cell vectors:
1 Zr 0.000 0.000 0.000
2 Cr 0.500 0.500 0.500
3 B 0.000 0.000 0.500
4 B 0.000 0.500 0.000
5 B 0.500 0.000 0.000

Values from the calculation:
**Uncorrected energy**: -5.84 eV per atom
**Calculated formation energy**: 1799 meV/atom
**Density of states at the Fermi level**: 2.9 states/eV/f.u.
**Symmetry**: Pm-3m (221)